The following is a PBE-GGA calculation of crystalline H2Ir2Au at its relaxed geometry, from Alexandria.

Values from the calculation:
Density   18.19 g/cm³
Symmetry   I4/mmm, No. 139
Electronic total energy   -5.1488 eV/atom

Cell: 4.8995 4.8995 4.8995 Å, 137.40 137.40 61.82°
Element x y z (fractional)
1 H 0.2500 0.7500 0.5000
2 H 0.7500 0.2500 0.5000
3 Ir 0.1630 0.1630 0.0000
4 Ir 0.8370 0.8370 0.0000
5 Au 0.5000 0.5000 0.0000